Run P
This record from Alexandria describes a relaxed Ba2HgGe2 crystal. The functional is GGA-PBE.

Output
**Fermi-level density of states**: 4.2 states/eV/f.u.

Cell lengths 8.703, 8.703, 4.525 Å; angles 90.00, 90.00, 90.00 degrees
Fractional positions:
Ba (0.194, 0.306, 0.000)
Ba (0.306, 0.806, 0.000)
Ba (0.694, 0.194, 0.000)
Ba (0.806, 0.694, 0.000)
Hg (0.000, 0.000, 0.500)
Hg (0.500, 0.500, 0.500)
Ge (0.097, 0.597, 0.500)
Ge (0.403, 0.097, 0.500)
Ge (0.597, 0.903, 0.500)
Ge (0.903, 0.403, 0.500)


Run Q
This record from Alexandria describes a relaxed Ba2HgGe2 crystal. The functional is GGA-PBE.

Output
**Fermi-level density of states**: 3.9 states/eV/f.u.

Cell lengths 6.361, 6.361, 9.217 Å; angles 90.00, 90.00, 90.00 degrees
Fractional positions:
Ba (0.000, 0.500, 0.250)
Ba (0.000, 0.500, 0.750)
Ba (0.500, 0.000, 0.250)
Ba (0.500, 0.000, 0.750)
Hg (0.000, 0.000, 0.000)
Hg (0.500, 0.500, 0.500)
Ge (0.000, 0.000, 0.371)
Ge (0.000, 0.000, 0.629)
Ge (0.500, 0.500, 0.129)
Ge (0.500, 0.500, 0.871)


Of them, run P has the highest stability.


Run P
This record from Alexandria describes a relaxed BaHgGe3 crystal. The functional is GGA-PBE.

Output
**Fermi-level density of states**: 4.9 states/eV/f.u.

Cell lengths 5.948, 5.948, 5.948 Å; angles 90.00, 90.00, 90.00 degrees
Fractional positions:
Ba (0.000, 0.000, 0.000)
Hg (0.500, 0.500, 0.500)
Ge (0.000, 0.000, 0.500)
Ge (0.000, 0.500, 0.000)
Ge (0.500, 0.000, 0.000)


Run Q
This record from Alexandria describes a relaxed BaHgGe3 crystal. The functional is GGA-PBE.

Output
**Fermi-level density of states**: 2.9 states/eV/f.u.

Cell lengths 5.369, 5.369, 5.369 Å; angles 90.00, 90.00, 90.00 degrees
Fractional positions:
Ba (0.000, 0.000, 0.000)
Hg (0.500, 0.500, 0.500)
Ge (0.000, 0.500, 0.500)
Ge (0.500, 0.000, 0.500)
Ge (0.500, 0.500, 0.000)


Of them, run Q has the highest stability.


Run P
This record from Alexandria describes a relaxed BaTcHgGe2 crystal. The functional is GGA-PBE.

Output
**Fermi-level density of states**: 5.2 states/eV/f.u.

Cell lengths 5.849, 5.849, 5.396 Å; angles 90.00, 90.00, 90.00 degrees
Fractional positions:
Ba (0.000, 0.000, 0.000)
Tc (0.000, 0.000, 0.500)
Hg (0.500, 0.500, 0.500)
Ge (0.000, 0.500, 0.000)
Ge (0.500, 0.000, 0.000)


Run Q
This record from Alexandria describes a relaxed BaTcHgGe2 crystal. The functional is GGA-PBE.

Output
**Fermi-level density of states**: 1.9 states/eV/f.u.

Cell lengths 4.867, 4.867, 5.386 Å; angles 90.00, 90.00, 90.00 degrees
Fractional positions:
Ba (0.000, 0.000, 0.000)
Tc (0.500, 0.500, 0.500)
Hg (0.500, 0.500, 0.000)
Ge (0.000, 0.500, 0.500)
Ge (0.500, 0.000, 0.500)


Of them, run Q has the highest stability.


Run P
This record from Alexandria describes a relaxed Ba2Ge2I crystal. The functional is GGA-PBE.

Output
**Fermi-level density of states**: 2.7 states/eV/f.u.

Cell lengths 4.702, 4.702, 28.261 Å; angles 90.00, 90.00, 120.00 degrees
Fractional positions:
Ba (0.000, 0.000, 0.078)
Ba (0.000, 0.000, 0.922)
Ba (0.333, 0.667, 0.589)
Ba (0.333, 0.667, 0.745)
Ba (0.667, 0.333, 0.255)
Ba (0.667, 0.333, 0.411)
Ge (0.000, 0.000, 0.332)
Ge (0.000, 0.000, 0.668)
Ge (0.333, 0.667, 0.335)
Ge (0.333, 0.667, 0.999)
Ge (0.667, 0.333, 0.001)
Ge (0.667, 0.333, 0.665)
I (0.000, 0.000, 0.500)
I (0.333, 0.667, 0.167)
I (0.667, 0.333, 0.833)


Run Q
This record from Alexandria describes a relaxed Ba2Ge2I crystal. The functional is GGA-PBE.

Output
**Fermi-level density of states**: 1.2 states/eV/f.u.

Cell lengths 10.914, 10.914, 10.914 Å; angles 131.07, 54.45, 157.59 degrees
Fractional positions:
Ba (0.359, 0.000, 0.859)
Ba (0.359, 0.500, 0.359)
Ba (0.641, 0.000, 0.141)
Ba (0.641, 0.500, 0.641)
Ge (0.211, 0.749, 0.462)
Ge (0.213, 0.251, 0.962)
Ge (0.787, 0.749, 0.038)
Ge (0.789, 0.251, 0.538)
I (0.321, 0.071, 0.250)
I (0.679, 0.929, 0.750)


Of them, run P has the highest stability.


Run P
This record from Alexandria describes a relaxed Ba2GeI6 crystal. The functional is GGA-PBE.

Output
**Fermi-level density of states**: 0.0 states/eV/f.u.

Cell lengths 7.796, 8.992, 13.493 Å; angles 90.00, 124.51, 90.00 degrees
Fractional positions:
Ba (0.216, 0.111, 0.254)
Ba (0.216, 0.389, 0.754)
Ba (0.784, 0.611, 0.246)
Ba (0.784, 0.889, 0.746)
Ge (0.500, 0.000, 0.000)
Ge (0.500, 0.500, 0.500)
I (0.118, 0.169, 0.943)
I (0.118, 0.331, 0.443)
I (0.285, 0.698, 0.946)
I (0.285, 0.802, 0.446)
I (0.356, 0.026, 0.742)
I (0.356, 0.474, 0.242)
I (0.644, 0.526, 0.758)
I (0.644, 0.974, 0.258)
I (0.715, 0.198, 0.554)
I (0.715, 0.302, 0.054)
I (0.882, 0.669, 0.557)
I (0.882, 0.831, 0.057)


Run Q
This record from Alexandria describes a relaxed Ba2GeI6 crystal. The functional is GGA-PBE.

Output
**Fermi-level density of states**: 0.0 states/eV/f.u.

Cell lengths 7.799, 7.799, 15.042 Å; angles 90.00, 90.00, 90.00 degrees
Fractional positions:
Ba (0.000, 0.000, 0.167)
Ba (0.000, 0.000, 0.833)
Ba (0.500, 0.500, 0.333)
Ba (0.500, 0.500, 0.667)
Ge (0.000, 0.000, 0.500)
Ge (0.500, 0.500, 0.000)
I (0.187, 0.187, 0.352)
I (0.187, 0.187, 0.648)
I (0.220, 0.220, 0.000)
I (0.280, 0.720, 0.500)
I (0.313, 0.687, 0.148)
I (0.313, 0.687, 0.852)
I (0.687, 0.313, 0.148)
I (0.687, 0.313, 0.852)
I (0.720, 0.280, 0.500)
I (0.780, 0.780, 0.000)
I (0.813, 0.813, 0.352)
I (0.813, 0.813, 0.648)


Of them, run P has the highest stability.


Run P
This record from Alexandria describes a relaxed BaGe2I crystal. The functional is GGA-PBE.

Output
**Fermi-level density of states**: 3.6 states/eV/f.u.

Cell lengths 7.896, 7.896, 7.896 Å; angles 90.00, 90.00, 90.00 degrees
Fractional positions:
Ba (0.000, 0.000, 0.000)
Ba (0.000, 0.500, 0.500)
Ba (0.500, 0.000, 0.500)
Ba (0.500, 0.500, 0.000)
Ge (0.250, 0.250, 0.250)
Ge (0.250, 0.250, 0.750)
Ge (0.250, 0.750, 0.250)
Ge (0.250, 0.750, 0.750)
Ge (0.750, 0.250, 0.250)
Ge (0.750, 0.250, 0.750)
Ge (0.750, 0.750, 0.250)
Ge (0.750, 0.750, 0.750)
I (0.000, 0.000, 0.500)
I (0.000, 0.500, 0.000)
I (0.500, 0.000, 0.000)
I (0.500, 0.500, 0.500)


Run Q
This record from Alexandria describes a relaxed BaGe2I crystal. The functional is GGA-PBE.

Output
**Fermi-level density of states**: 4.3 states/eV/f.u.

Cell lengths 9.206, 9.206, 6.420 Å; angles 90.00, 90.00, 90.00 degrees
Fractional positions:
Ba (0.000, 0.000, 0.000)
Ba (0.000, 0.500, 0.250)
Ba (0.500, 0.000, 0.750)
Ba (0.500, 0.500, 0.500)
Ge (0.228, 0.250, 0.625)
Ge (0.250, 0.728, 0.875)
Ge (0.250, 0.772, 0.375)
Ge (0.272, 0.250, 0.125)
Ge (0.728, 0.750, 0.125)
Ge (0.750, 0.228, 0.375)
Ge (0.750, 0.272, 0.875)
Ge (0.772, 0.750, 0.625)
I (0.000, 0.000, 0.500)
I (0.000, 0.500, 0.750)
I (0.500, 0.000, 0.250)
I (0.500, 0.500, 0.000)


Of them, run Q has the highest stability.


Run P
This record from Alexandria describes a relaxed BaGeI4 crystal. The functional is GGA-PBE.

Output
**Fermi-level density of states**: 0.0 states/eV/f.u.

Cell lengths 17.234, 4.676, 8.359 Å; angles 90.00, 117.31, 90.00 degrees
Fractional positions:
Ba (0.000, 0.000, 0.000)
Ba (0.500, 0.500, 0.000)
Ge (0.000, 0.500, 0.500)
Ge (0.500, 0.000, 0.500)
I (0.111, 0.000, 0.468)
I (0.119, 0.500, 0.905)
I (0.381, 0.000, 0.095)
I (0.389, 0.500, 0.532)
I (0.611, 0.500, 0.468)
I (0.619, 0.000, 0.905)
I (0.881, 0.500, 0.095)
I (0.889, 0.000, 0.532)


Run Q
This record from Alexandria describes a relaxed BaGeI4 crystal. The functional is GGA-PBE.

Output
**Fermi-level density of states**: 0.0 states/eV/f.u.

Cell lengths 9.685, 9.685, 7.684 Å; angles 107.85, 107.85, 117.11 degrees
Fractional positions:
Ba (0.125, 0.875, 0.750)
Ba (0.875, 0.125, 0.250)
Ge (0.417, 0.583, 0.250)
Ge (0.583, 0.417, 0.750)
I (0.148, 0.562, 0.346)
I (0.204, 0.286, 0.775)
I (0.286, 0.204, 0.275)
I (0.438, 0.852, 0.154)
I (0.562, 0.148, 0.846)
I (0.714, 0.796, 0.725)
I (0.796, 0.714, 0.225)
I (0.852, 0.438, 0.654)


Of them, run Q has the highest stability.


Run P
This record from Alexandria describes a relaxed BaGeIN2 crystal. The functional is GGA-PBE.

Output
**Fermi-level density of states**: 3.4 states/eV/f.u.

Cell lengths 4.446, 4.446, 5.676 Å; angles 90.00, 90.00, 90.00 degrees
Fractional positions:
Ba (0.000, 0.000, 0.000)
Ge (0.500, 0.500, 0.500)
I (0.500, 0.500, 0.000)
N (0.000, 0.500, 0.500)
N (0.500, 0.000, 0.500)


Run Q
This record from Alexandria describes a relaxed BaGeIN2 crystal. The functional is GGA-PBE.

Output
**Fermi-level density of states**: 1.9 states/eV/f.u.

Cell lengths 5.168, 5.168, 6.945 Å; angles 90.00, 90.00, 90.00 degrees
Fractional positions:
Ba (0.000, 0.000, 0.000)
Ge (0.500, 0.500, 0.500)
I (0.000, 0.000, 0.500)
N (0.000, 0.500, 0.000)
N (0.500, 0.000, 0.000)


Of them, run P has the highest stability.


Run P
This record from Alexandria describes a relaxed Rb2BaGeI6 crystal. The functional is GGA-PBE.

Output
**Fermi-level density of states**: 0.0 states/eV/f.u.

Cell lengths 8.990, 8.990, 8.990 Å; angles 60.00, 60.00, 60.00 degrees
Fractional positions:
Rb (0.250, 0.250, 0.250)
Rb (0.750, 0.750, 0.750)
Ba (0.000, 0.000, 0.000)
Ge (0.500, 0.500, 0.500)
I (0.265, 0.265, 0.735)
I (0.265, 0.735, 0.265)
I (0.265, 0.735, 0.735)
I (0.735, 0.265, 0.265)
I (0.735, 0.265, 0.735)
I (0.735, 0.735, 0.265)


Run Q
This record from Alexandria describes a relaxed Rb2BaGeI6 crystal. The functional is GGA-PBE.

Output
**Fermi-level density of states**: 0.0 states/eV/f.u.

Cell lengths 8.554, 9.015, 14.919 Å; angles 90.00, 124.01, 90.00 degrees
Fractional positions:
Rb (0.216, 0.080, 0.245)
Rb (0.216, 0.420, 0.745)
Rb (0.784, 0.580, 0.255)
Rb (0.784, 0.920, 0.755)
Ba (0.500, 0.000, 0.000)
Ba (0.500, 0.500, 0.500)
Ge (0.000, 0.000, 0.500)
Ge (0.000, 0.500, 0.000)
I (0.118, 0.214, 0.942)
I (0.118, 0.286, 0.442)
I (0.235, 0.682, 0.945)
I (0.235, 0.818, 0.445)
I (0.342, 0.030, 0.732)
I (0.342, 0.470, 0.232)
I (0.658, 0.530, 0.768)
I (0.658, 0.970, 0.268)
I (0.765, 0.182, 0.555)
I (0.765, 0.318, 0.055)
I (0.882, 0.714, 0.558)
I (0.882, 0.786, 0.058)


Of them, run Q has the highest stability.


Run P
This record from Alexandria describes a relaxed BaIn3Ge crystal. The functional is GGA-PBE.

Output
**Fermi-level density of states**: 3.1 states/eV/f.u.

Cell lengths 6.230, 6.230, 6.230 Å; angles 90.00, 90.00, 90.00 degrees
Fractional positions:
Ba (0.000, 0.000, 0.000)
In (0.000, 0.000, 0.500)
In (0.000, 0.500, 0.000)
In (0.500, 0.000, 0.000)
Ge (0.500, 0.500, 0.500)


Run Q
This record from Alexandria describes a relaxed BaIn3Ge crystal. The functional is GGA-PBE.

Output
**Fermi-level density of states**: 3.1 states/eV/f.u.

Cell lengths 5.541, 5.541, 5.541 Å; angles 90.00, 90.00, 90.00 degrees
Fractional positions:
Ba (0.000, 0.000, 0.000)
In (0.000, 0.500, 0.500)
In (0.500, 0.000, 0.500)
In (0.500, 0.500, 0.000)
Ge (0.500, 0.500, 0.500)


Of them, run Q has the highest stability.


Run P
This record from Alexandria describes a relaxed BaIn3Ge crystal. The functional is GGA-PBE.

Output
**Fermi-level density of states**: 2.0 states/eV/f.u.

Cell lengths 10.328, 4.603, 12.708 Å; angles 90.00, 90.00, 90.00 degrees
Fractional positions:
Ba (0.189, 0.250, 0.008)
Ba (0.311, 0.750, 0.508)
Ba (0.689, 0.250, 0.492)
Ba (0.811, 0.750, 0.992)
In (0.058, 0.250, 0.408)
In (0.091, 0.750, 0.219)
In (0.156, 0.750, 0.794)
In (0.344, 0.250, 0.294)
In (0.409, 0.250, 0.719)
In (0.442, 0.750, 0.908)
In (0.558, 0.250, 0.092)
In (0.591, 0.750, 0.281)
In (0.656, 0.750, 0.706)
In (0.844, 0.250, 0.206)
In (0.909, 0.250, 0.781)
In (0.942, 0.750, 0.592)
Ge (0.137, 0.250, 0.647)
Ge (0.363, 0.750, 0.147)
Ge (0.637, 0.250, 0.853)
Ge (0.863, 0.750, 0.353)


Run Q
This record from Alexandria describes a relaxed BaIn3Ge crystal. The functional is GGA-PBE.

Output
**Fermi-level density of states**: 2.0 states/eV/f.u.

Cell lengths 4.922, 5.302, 6.736 Å; angles 113.06, 111.43, 90.01 degrees
Fractional positions:
Ba (0.000, 0.000, 0.000)
In (0.265, 0.763, 0.529)
In (0.619, 0.618, 0.237)
In (0.750, 0.248, 0.498)
Ge (0.379, 0.376, 0.756)


Of them, run Q has the highest stability.